Density functional theory data (PBE-GGA) for a relaxed AsSeBr2 crystal.

Properties
energy relative to the elements, uncorrected = 0.4 eV per formula unit
symmetry = Imm2 (44)
crystal system = orthorhombic
volume = 119.3 Å³ per cell
calculated total energy = -2.7622 eV per atom

abc: 7.779 7.779 7.779
angles: 152.99 145.99 43.96
Positions (direct):
As: 0.314 0.814 0.500
Se: 0.435 0.435 0.000
Br: 0.004 0.004 0.000
Br: 0.747 0.247 0.500